Tm4NiBi2: relaxed, PBE.

abc: 6.837 6.571 8.930
angles: 90.00 107.38 90.00
Positions (direct):
Tm  0.021  0.002  0.277
Tm  0.021  0.498  0.277
Tm  0.354  0.750  0.056
Tm  0.425  0.750  0.639
Tm  0.575  0.250  0.361
Tm  0.646  0.250  0.944
Tm  0.979  0.502  0.723
Tm  0.979  0.998  0.723
Ni  0.326  0.750  0.333
Ni  0.674  0.250  0.667
Bi  0.213  0.250  0.039
Bi  0.276  0.250  0.582
Bi  0.724  0.750  0.418
Bi  0.787  0.750  0.961

Calculated values
- V: 191.4 Å³/f.u.
- ΔE to the lowest computed polymorph: 0.075 eV per atom
- Electronic total energy: -4.9120 eV per atom
- Total magnetization: 0.00 μB/cell
- ΔH_f (0 K): -422 meV per atom